Below is a crystal of ZrTe2Pt relaxed with PBEsol, with properties calculated at the SCAN level.

The excess energy over the best structure of this formula in the dataset comes out at 1.59 eV/f.u. The calculation puts the energy at -44.14 eV/atom. The value obtained for the spin magnetization is 0.000 μB per atom. The space group is C2/m. The calculation puts the formation energy (no corrections) at -1.2 eV per formula unit.

The structure in CIF format:
```
data_ZrTe2Pt
_symmetry_space_group_name_H-M 'P 1'
_symmetry_Int_Tables_number 1
_cell_length_a 4.0323
_cell_length_b 4.7969
_cell_length_c 5.5504
_cell_angle_alpha 112.98
_cell_angle_beta 108.27
_cell_angle_gamma 96.61
loop_
_symmetry_equiv_pos_as_xyz
'x,y,z'
loop_
_atom_site_label
_atom_site_fract_x
_atom_site_fract_y
_atom_site_fract_z
Te1 0.0000 0.0000 0.5000
Te2 0.5000 0.5000 0.5000
Pt1 0.0000 0.5000 0.0000
Zr1 0.5000 0.0000 0.0000
```

=====

Below is a crystal of HfZrCu2Cl relaxed with PBEsol, with properties calculated at the SCAN level.

The calculation puts the energy at -25.10 eV/atom. The value obtained for the spin magnetization is 0.000 μB per atom. The space group is P4/mmm. The calculation puts the formation energy (no corrections) at 6.3 eV per formula unit.

The structure in CIF format:
```
data_HfZrCu2Cl
_symmetry_space_group_name_H-M 'P 1'
_symmetry_Int_Tables_number 1
_cell_length_a 4.7790
_cell_length_b 4.7790
_cell_length_c 5.2074
_cell_angle_alpha 90.00
_cell_angle_beta 90.00
_cell_angle_gamma 90.00
loop_
_symmetry_equiv_pos_as_xyz
'x,y,z'
loop_
_atom_site_label
_atom_site_fract_x
_atom_site_fract_y
_atom_site_fract_z
Cu1 0.0000 0.5000 0.0000
Cu2 0.5000 0.0000 0.0000
Cl1 0.5000 0.5000 0.5000
Hf1 0.0000 0.0000 0.5000
Zr1 0.0000 0.0000 0.0000
```

=====

Below is a crystal of Cs2LiPdF6 relaxed with PBEsol, with properties calculated at the SCAN level.

The calculation puts the energy at -15.63 eV/atom. The value obtained for the spin magnetization is 0.100 μB per atom. The space group is Fm-3m. The calculation puts the formation energy (no corrections) at -24.3 eV per formula unit.

The structure in CIF format:
```
data_Cs2LiPdF6
_symmetry_space_group_name_H-M 'P 1'
_symmetry_Int_Tables_number 1
_cell_length_a 6.0331
_cell_length_b 6.0331
_cell_length_c 6.0331
_cell_angle_alpha 60.00
_cell_angle_beta 60.00
_cell_angle_gamma 60.00
loop_
_symmetry_equiv_pos_as_xyz
'x,y,z'
loop_
_atom_site_label
_atom_site_fract_x
_atom_site_fract_y
_atom_site_fract_z
F1 0.7596 0.7596 0.2404
F2 0.2404 0.7596 0.2404
F3 0.2404 0.2404 0.7596
F4 0.7596 0.2404 0.2404
F5 0.7596 0.2404 0.7596
F6 0.2404 0.7596 0.7596
Pd1 0.0000 0.0000 0.0000
Li1 0.5000 0.5000 0.5000
Cs1 0.7500 0.7500 0.7500
Cs2 0.2500 0.2500 0.2500
```

=====

Below is a crystal of AlSiSe relaxed with PBEsol, with properties calculated at the SCAN level.

The calculation puts the energy at -12.14 eV/atom. The value obtained for the spin magnetization is 0.001 μB per atom. The space group is F-43m. The calculation puts the formation energy (no corrections) at 1.4 eV per formula unit.

The structure in CIF format:
```
data_AlSiSe
_symmetry_space_group_name_H-M 'P 1'
_symmetry_Int_Tables_number 1
_cell_length_a 4.3930
_cell_length_b 4.3930
_cell_length_c 4.3930
_cell_angle_alpha 60.00
_cell_angle_beta 60.00
_cell_angle_gamma 60.00
loop_
_symmetry_equiv_pos_as_xyz
'x,y,z'
loop_
_atom_site_label
_atom_site_fract_x
_atom_site_fract_y
_atom_site_fract_z
Se1 0.5000 0.5000 0.5000
Si1 0.2500 0.2500 0.2500
Al1 0.0000 0.0000 0.0000
```

=====

Below is a crystal of CoAsP2 relaxed with PBEsol, with properties calculated at the SCAN level.

The calculation puts the energy at -14.54 eV/atom. The value obtained for the spin magnetization is 0.000 μB per atom. The energy of formation from the pure elements is 0.9 kcal/mol of atoms. The space group is P2/m.

The structure in CIF format:
```
data_CoAsP2
_symmetry_space_group_name_H-M 'P 1'
_symmetry_Int_Tables_number 1
_cell_length_a 3.6291
_cell_length_b 3.9588
_cell_length_c 4.1257
_cell_angle_alpha 109.08
_cell_angle_beta 90.00
_cell_angle_gamma 90.00
loop_
_symmetry_equiv_pos_as_xyz
'x,y,z'
loop_
_atom_site_label
_atom_site_fract_x
_atom_site_fract_y
_atom_site_fract_z
P1 0.0000 0.2809 0.1819
P2 0.0000 0.7191 0.8181
As1 0.5000 0.0000 0.5000
Co1 0.5000 0.5000 0.0000
```

=====

Below is a crystal of ScAlTl2 relaxed with PBEsol, with properties calculated at the SCAN level.

The excess energy over the best structure of this formula in the dataset comes out at 0.36 eV/f.u. The calculation puts the energy at -41.76 eV/atom. The value obtained for the spin magnetization is 0.144 μB per atom. The energy of formation from the pure elements is -1.9 kcal/mol of atoms. The space group is P2/m.

The structure in CIF format:
```
data_ScAlTl2
_symmetry_space_group_name_H-M 'P 1'
_symmetry_Int_Tables_number 1
_cell_length_a 3.1722
_cell_length_b 4.8499
_cell_length_c 5.8267
_cell_angle_alpha 90.00
_cell_angle_beta 91.15
_cell_angle_gamma 90.00
loop_
_symmetry_equiv_pos_as_xyz
'x,y,z'
loop_
_atom_site_label
_atom_site_fract_x
_atom_site_fract_y
_atom_site_fract_z
Tl1 0.3664 0.0000 0.2533
Tl2 0.6336 0.0000 0.7467
Sc1 0.0000 0.5000 0.5000
Al1 0.5000 0.5000 0.0000
```